A geometry-optimized CeDyScGa structure. Source: the Alexandria database, functional PBE.

Results
As for the total energy: -20.41 eV/f.u. For the energy of formation, the calculation gives -128 meV per atom.

Lattice parameters (Å, degrees): 7.371 7.371 7.371 90.00 90.00 90.00
Space group F-43m (No. 216)
Asymmetric unit:
Ce 0.000 0.000 0.000 x4
Dy 0.000 0.000 0.500 x4
Sc 0.250 0.250 0.250 x4
Ga 0.250 0.250 0.750 x4

=====

A geometry-optimized CeDyThGa structure. Source: the Alexandria database, functional PBE.

Results
As for the total energy: -21.07 eV/f.u. For the energy of formation, the calculation gives -21 meV per atom.

Lattice parameters (Å, degrees): 7.494 7.494 7.494 90.00 90.00 90.00
Space group F-43m (No. 216)
Asymmetric unit:
Ce 0.000 0.000 0.000 x4
Dy 0.250 0.250 0.250 x4
Th 0.250 0.250 0.750 x4
Ga 0.000 0.000 0.500 x4

=====

A geometry-optimized CeDy2Zn2Ga2 structure. Source: the Alexandria database, functional PBE.

Results
As for the total energy: -26.28 eV/f.u. For the energy of formation, the calculation gives -363 meV per atom.

Lattice parameters (Å, degrees): 4.4613 4.4613 27.8297 90.00 90.00 120.00
Space group R-3m (No. 166, hexagonal axes)
Asymmetric unit:
Ce 0.0000 0.0000 0.0000 x3
Dy 0.0000 0.0000 0.1274 x6
Zn 0.0000 0.0000 0.4003 x6
Ga 0.0000 0.0000 0.2600 x6

=====

A geometry-optimized CeDyZnGa structure. Source: the Alexandria database, functional PBE.

Results
As for the total energy: -16.47 eV/f.u. For the energy of formation, the calculation gives -410 meV per atom.

Lattice parameters (Å, degrees): 7.199 7.199 7.199 90.00 90.00 90.00
Space group F-43m (No. 216)
Asymmetric unit:
Ce 0.000 0.000 0.000 x4
Dy 0.000 0.000 0.500 x4
Zn 0.250 0.250 0.750 x4
Ga 0.250 0.250 0.250 x4

=====

A geometry-optimized Ce2GdDy structure. Source: the Alexandria database, functional PBE.

Results
As for the total energy: -30.13 eV/f.u. For the energy of formation, the calculation gives 106 meV per atom. The energy above the lowest structure with this stoichiometry is 0.00 kcal/mol of atoms.

Lattice parameters (Å, degrees): 4.925 4.925 5.018 90.00 90.00 90.00
Space group P4/mmm (No. 123)
Asymmetric unit:
Ce 0.000 0.500 0.000 x2
Gd 0.000 0.000 0.500 x1
Dy 0.500 0.500 0.500 x1

=====

A geometry-optimized CeGd2Dy structure. Source: the Alexandria database, functional PBE.

Results
As for the total energy: -38.38 eV/f.u. For the energy of formation, the calculation gives 78 meV per atom. The energy above the lowest structure with this stoichiometry is 0.43 kcal/mol of atoms.

Lattice parameters (Å, degrees): 5.001 5.001 5.042 90.00 90.00 90.00
Space group P4/mmm (No. 123)
Asymmetric unit:
Ce 0.000 0.000 0.000 x1
Gd 0.000 0.500 0.500 x2
Dy 0.500 0.500 0.000 x1

=====

A geometry-optimized CeGd2Dy structure. Source: the Alexandria database, functional PBE.

Results
As for the total energy: -38.09 eV/f.u. For the energy of formation, the calculation gives 152 meV per atom. The energy above the lowest structure with this stoichiometry is 2.12 kcal/mol of atoms.

Lattice parameters (Å, degrees): 8.034 8.034 8.034 90.00 90.00 90.00
Space group Fm-3m (No. 225)
Asymmetric unit:
Ce 0.000 0.000 0.000 x4
Gd 0.250 0.250 0.250 x8
Dy 0.000 0.000 0.500 x4

=====

A geometry-optimized CeGd2Dy structure. Source: the Alexandria database, functional PBE.

Results
As for the total energy: -38.44 eV/f.u. For the energy of formation, the calculation gives 64 meV per atom. The energy above the lowest structure with this stoichiometry is 0.11 kcal/mol of atoms.

Lattice parameters (Å, degrees): 3.532 3.532 10.027 90.00 90.00 90.00
Space group P4/mmm (No. 123)
Asymmetric unit:
Ce 0.000 0.000 0.000 x1
Gd 0.500 0.500 0.243 x2
Dy 0.000 0.000 0.500 x1

=====

A geometry-optimized Ce2GdDy structure. Source: the Alexandria database, functional PBE.

Results
As for the total energy: -29.61 eV/f.u. For the energy of formation, the calculation gives 235 meV per atom. The energy above the lowest structure with this stoichiometry is 2.97 kcal/mol of atoms.

Lattice parameters (Å, degrees): 3.3723 3.3723 36.7240 90.00 90.00 120.00
Space group R-3m (No. 166, hexagonal axes)
Asymmetric unit:
Ce 0.0000 0.0000 0.0858 x6
Gd 0.0000 0.0000 0.5000 x3
Dy 0.0000 0.0000 0.0000 x3

=====

A geometry-optimized Ce4GdDy structure. Source: the Alexandria database, functional PBE.

Results
As for the total energy: -41.21 eV/f.u. For the energy of formation, the calculation gives 202 meV per atom.

Lattice parameters (Å, degrees): 8.941 8.941 8.941 90.00 90.00 90.00
Space group F-43m (No. 216)
Asymmetric unit:
Ce 0.122 0.122 0.122 x16
Gd 0.250 0.250 0.750 x4
Dy 0.000 0.000 0.500 x4

=====

A geometry-optimized Ce2GdDy structure. Source: the Alexandria database, functional PBE.

Results
As for the total energy: -29.62 eV/f.u. For the energy of formation, the calculation gives 234 meV per atom. The energy above the lowest structure with this stoichiometry is 2.95 kcal/mol of atoms.

Lattice parameters (Å, degrees): 7.967 7.967 7.967 90.00 90.00 90.00
Space group Fm-3m (No. 225)
Asymmetric unit:
Ce 0.250 0.250 0.250 x8
Gd 0.000 0.000 0.000 x4
Dy 0.000 0.000 0.500 x4

=====

A geometry-optimized CeGd2Dy structure. Source: the Alexandria database, functional PBE.

Results
As for the total energy: -38.46 eV/f.u. For the energy of formation, the calculation gives 60 meV per atom. The energy above the lowest structure with this stoichiometry is 0.00 kcal/mol of atoms.

Lattice parameters (Å, degrees): 3.5323 3.5323 34.7753 90.00 90.00 120.00
Space group R-3m (No. 166, hexagonal axes)
Asymmetric unit:
Ce 0.0000 0.0000 0.0000 x3
Gd 0.0000 0.0000 0.2511 x6
Dy 0.0000 0.0000 0.5000 x3

=====

A geometry-optimized CeGdDyHf structure. Source: the Alexandria database, functional PBE.

Results
As for the total energy: -33.52 eV/f.u. For the energy of formation, the calculation gives 262 meV per atom.

Lattice parameters (Å, degrees): 7.692 7.692 7.692 90.00 90.00 90.00
Space group F-43m (No. 216)
Asymmetric unit:
Ce 0.000 0.000 0.000 x4
Gd 0.000 0.000 0.500 x4
Dy 0.250 0.250 0.250 x4
Hf 0.250 0.250 0.750 x4

=====

A geometry-optimized CeGdDyHg structure. Source: the Alexandria database, functional PBE.

Results
As for the total energy: -25.01 eV/f.u. For the energy of formation, the calculation gives -22 meV per atom.

Lattice parameters (Å, degrees): 7.610 7.610 7.610 90.00 90.00 90.00
Space group F-43m (No. 216)
Asymmetric unit:
Ce 0.000 0.000 0.000 x4
Gd 0.250 0.250 0.750 x4
Dy 0.250 0.250 0.250 x4
Hg 0.000 0.000 0.500 x4

=====

A geometry-optimized CeGdDyIn structure. Source: the Alexandria database, functional PBE.

Results
As for the total energy: -27.68 eV/f.u. For the energy of formation, the calculation gives -81 meV per atom.

Lattice parameters (Å, degrees): 7.655 7.655 7.655 90.00 90.00 90.00
Space group F-43m (No. 216)
Asymmetric unit:
Ce 0.000 0.000 0.000 x4
Gd 0.250 0.250 0.750 x4
Dy 0.250 0.250 0.250 x4
In 0.000 0.000 0.500 x4

=====

A geometry-optimized LaCeGdDy structure. Source: the Alexandria database, functional PBE.

Results
As for the total energy: -28.83 eV/f.u. For the energy of formation, the calculation gives 179 meV per atom.

Lattice parameters (Å, degrees): 8.129 8.129 8.129 90.00 90.00 90.00
Space group F-43m (No. 216)
Asymmetric unit:
La 0.000 0.000 0.000 x4
Ce 0.250 0.250 0.750 x4
Gd 0.000 0.000 0.500 x4
Dy 0.250 0.250 0.250 x4

=====

A geometry-optimized CeGdDyMg structure. Source: the Alexandria database, functional PBE.

Results
As for the total energy: -25.65 eV/f.u. For the energy of formation, the calculation gives 139 meV per atom.

Lattice parameters (Å, degrees): 7.793 7.793 7.793 90.00 90.00 90.00
Space group F-43m (No. 216)
Asymmetric unit:
Ce 0.000 0.000 0.000 x4
Gd 0.250 0.250 0.250 x4
Dy 0.250 0.250 0.750 x4
Mg 0.000 0.000 0.500 x4

=====

A geometry-optimized CeNdGdDy structure. Source: the Alexandria database, functional PBE.

Results
As for the total energy: -28.68 eV/f.u. For the energy of formation, the calculation gives 176 meV per atom.

Lattice parameters (Å, degrees): 8.079 8.079 8.079 90.00 90.00 90.00
Space group F-43m (No. 216)
Asymmetric unit:
Ce 0.000 0.000 0.000 x4
Nd 0.000 0.000 0.500 x4
Gd 0.250 0.250 0.750 x4
Dy 0.250 0.250 0.250 x4

=====

A geometry-optimized CeGdDyPa structure. Source: the Alexandria database, functional PBE.

Results
As for the total energy: -32.70 eV/f.u. For the energy of formation, the calculation gives 353 meV per atom.

Lattice parameters (Å, degrees): 7.832 7.832 7.832 90.00 90.00 90.00
Space group F-43m (No. 216)
Asymmetric unit:
Ce 0.000 0.000 0.000 x4
Gd 0.000 0.000 0.500 x4
Dy 0.250 0.250 0.750 x4
Pa 0.250 0.250 0.250 x4

=====

A geometry-optimized CeGdDyPb structure. Source: the Alexandria database, functional PBE.

Results
As for the total energy: -28.60 eV/f.u. For the energy of formation, the calculation gives -68 meV per atom.

Lattice parameters (Å, degrees): 7.731 7.731 7.731 90.00 90.00 90.00
Space group F-43m (No. 216)
Asymmetric unit:
Ce 0.000 0.000 0.000 x4
Gd 0.250 0.250 0.750 x4
Dy 0.250 0.250 0.250 x4
Pb 0.000 0.000 0.500 x4

=====

A geometry-optimized CePmGdDy structure. Source: the Alexandria database, functional PBE.

Results
As for the total energy: -28.67 eV/f.u. For the energy of formation, the calculation gives 174 meV per atom.

Lattice parameters (Å, degrees): 8.076 8.076 8.076 90.00 90.00 90.00
Space group F-43m (No. 216)
Asymmetric unit:
Ce 0.000 0.000 0.000 x4
Pm 0.250 0.250 0.250 x4
Gd 0.250 0.250 0.750 x4
Dy 0.000 0.000 0.500 x4

=====

A geometry-optimized CeGdDyTh structure. Source: the Alexandria database, functional PBE.

Results
As for the total energy: -31.24 eV/f.u. For the energy of formation, the calculation gives 199 meV per atom.

Lattice parameters (Å, degrees): 7.986 7.986 7.986 90.00 90.00 90.00
Space group F-43m (No. 216)
Asymmetric unit:
Ce 0.000 0.000 0.000 x4
Gd 0.250 0.250 0.250 x4
Dy 0.250 0.250 0.750 x4
Th 0.000 0.000 0.500 x4

=====

A geometry-optimized CeGdDyTl structure. Source: the Alexandria database, functional PBE.

Results
As for the total energy: -26.96 eV/f.u. For the energy of formation, the calculation gives 7 meV per atom.

Lattice parameters (Å, degrees): 7.716 7.716 7.716 90.00 90.00 90.00
Space group F-43m (No. 216)
Asymmetric unit:
Ce 0.000 0.000 0.000 x4
Gd 0.250 0.250 0.250 x4
Dy 0.250 0.250 0.750 x4
Tl 0.000 0.000 0.500 x4

=====

A geometry-optimized CeGdDyTm structure. Source: the Alexandria database, functional PBE.

Results
As for the total energy: -28.48 eV/f.u. For the energy of formation, the calculation gives 151 meV per atom.

Lattice parameters (Å, degrees): 7.971 7.971 7.971 90.00 90.00 90.00
Space group F-43m (No. 216)
Asymmetric unit:
Ce 0.000 0.000 0.000 x4
Gd 0.000 0.000 0.500 x4
Dy 0.250 0.250 0.750 x4
Tm 0.250 0.250 0.250 x4

=====

A geometry-optimized CeGdDyY structure. Source: the Alexandria database, functional PBE.

Results
As for the total energy: -30.44 eV/f.u. For the energy of formation, the calculation gives 161 meV per atom.

Lattice parameters (Å, degrees): 8.029 8.029 8.029 90.00 90.00 90.00
Space group F-43m (No. 216)
Asymmetric unit:
Ce 0.000 0.000 0.000 x4
Gd 0.000 0.000 0.500 x4
Dy 0.250 0.250 0.250 x4
Y 0.250 0.250 0.750 x4

=====

A geometry-optimized CeGdDyZr structure. Source: the Alexandria database, functional PBE.

Results
As for the total energy: -32.28 eV/f.u. For the energy of formation, the calculation gives 222 meV per atom.

Lattice parameters (Å, degrees): 7.747 7.747 7.747 90.00 90.00 90.00
Space group F-43m (No. 216)
Asymmetric unit:
Ce 0.000 0.000 0.000 x4
Gd 0.000 0.000 0.500 x4
Dy 0.250 0.250 0.750 x4
Zr 0.250 0.250 0.250 x4

=====

A geometry-optimized Ce2DyGe2 structure. Source: the Alexandria database, functional PBE.

Results
As for the total energy: -28.23 eV/f.u. For the energy of formation, the calculation gives -506 meV per atom. The energy above the lowest structure with this stoichiometry is 5.00 kcal/mol of atoms.

Lattice parameters (Å, degrees): 5.825 4.842 9.403 90.00 105.07 90.00
Space group P2_1/m (No. 11)
Asymmetric unit:
Ce 0.130 0.250 0.018 x2
Ce 0.231 0.750 0.368 x2
Dy 0.276 0.750 0.750 x2
Ge 0.233 0.250 0.542 x2
Ge 0.421 0.750 0.104 x2

=====

A geometry-optimized Ce3DyGe2 structure. Source: the Alexandria database, functional PBE.

Results
As for the total energy: -34.65 eV/f.u. For the energy of formation, the calculation gives -502 meV per atom.

Lattice parameters (Å, degrees): 17.340 4.139 8.885 90.00 115.22 90.00
Space group C2/m (No. 12)
Asymmetric unit:
Ce 0.069 0.000 0.441 x4
Ce 0.121 0.500 0.680 x4
Ce 0.218 0.500 0.397 x4
Dy 0.109 0.000 0.032 x4
Ge 0.022 0.500 0.169 x4
Ge 0.249 0.500 0.092 x4

=====

A geometry-optimized Ce2Dy2Ge3 structure. Source: the Alexandria database, functional PBE.

Results
As for the total energy: -38.74 eV/f.u. For the energy of formation, the calculation gives -545 meV per atom.

Lattice parameters (Å, degrees): 13.600 4.289 7.128 90.00 100.60 90.00
Space group C2/m (No. 12)
Asymmetric unit:
Ce 0.123 0.000 0.369 x4
Dy 0.133 0.500 0.867 x4
Ge 0.000 0.500 0.500 x2
Ge 0.248 0.500 0.250 x4